No. 1
VASP calculation (PBE) on a geometry-optimized Rb2SiBBr6 structure.

Geometry as extended XYZ:
```
10
Lattice="7.432 0.000 0.000 0.000 7.432 0.000 3.716 3.716 5.183" Properties=species:S:1:pos:R:3 pbc="T T T"
Rb 7.432 3.716 2.591
Rb 3.716 7.432 2.591
B 3.716 3.716 0.000
Br 5.587 1.846 0.000
Br 1.846 5.587 0.000
Br 3.716 3.716 2.577
Br 7.432 7.432 2.605
Br 1.846 1.846 0.000
Br 5.587 5.587 0.000
Si 0.000 0.000 0.000
```

Computed properties:
D(E_F) in states/eV/f.u.: 3.04
ΔE_f (raw) in kcal/mol of atoms: -13.88

***

No. 2
VASP calculation (PBE) on a geometry-optimized Rb2SnBBr6 structure.

Geometry as extended XYZ:
```
10
Lattice="-7.163 -1.709 2.625 -2.354 -1.383 -7.326 -3.383 -6.542 -1.849" Properties=species:S:1:pos:R:3 pbc="T T T"
Rb -7.653 -4.899 -0.788
Rb -5.248 -4.736 -5.763
B -4.759 -1.546 -2.351
Br -7.015 -2.279 -3.465
Br -4.151 -3.752 -2.129
Br -2.502 -0.813 -1.236
Br -3.619 -1.469 -4.710
Br -5.899 -1.623 0.008
Br -8.749 -5.882 -4.421
Sn 0.000 0.000 0.000
```

Computed properties:
D(E_F) in states/eV/f.u.: 2.68
ΔE_f (raw) in kcal/mol of atoms: -16.57

***

No. 3
VASP calculation (PBE) on a geometry-optimized Rb2SrBBr6 structure.

Geometry as extended XYZ:
```
10
Lattice="-3.138 3.152 6.396 0.988 -6.728 3.801 3.921 -0.131 6.733" Properties=species:S:1:pos:R:3 pbc="T T T"
Rb -0.146 0.617 9.114
Rb 1.917 -4.323 7.816
B -1.075 -1.788 5.098
Br -0.139 -4.031 4.509
Br 0.577 -2.671 11.089
Br 1.194 -1.035 5.841
Br -0.587 -0.976 2.784
Br -2.012 0.454 5.687
Br -1.563 -2.600 7.413
Sr 0.000 0.000 0.000
```

Computed properties:
D(E_F) in states/eV/f.u.: 1.34
ΔE_f (raw) in kcal/mol of atoms: -23.96